--- P ---
Entry from the Alexandria database: SrCoI2O after structural relaxation (PBE with a Hubbard U).

Calculated values
* N(E_F): 0.227 states/eV per atom

a = 5.861 Å, b = 5.861 Å, c = 3.794 Å
α = 90.00°, β = 90.00°, γ = 90.00°
Atoms (fractional coordinates):
Sr1 0.000 0.000 0.000
Co1 0.500 0.500 0.500
I1 0.000 0.500 0.500
I2 0.500 0.000 0.500
O1 0.500 0.500 0.000

=====

--- Q ---
Entry from the Alexandria database: SrCoI2O after structural relaxation (PBE with a Hubbard U).

Calculated values
* N(E_F): 1.004 states/eV per atom

a = 6.387 Å, b = 6.387 Å, c = 4.287 Å
α = 90.00°, β = 90.00°, γ = 90.00°
Atoms (fractional coordinates):
Sr1 0.000 0.000 0.000
Co1 0.500 0.500 0.500
I1 0.000 0.500 0.000
I2 0.500 0.000 0.000
O1 0.000 0.000 0.500

=====

Most stable one: P, least stable one: Q.

=====

--- P ---
Entry from the Alexandria database: CoTcI2O after structural relaxation (PBE with a Hubbard U).

Calculated values
* N(E_F): 0.741 states/eV per atom

a = 5.570 Å, b = 5.570 Å, c = 3.746 Å
α = 90.00°, β = 90.00°, γ = 90.00°
Atoms (fractional coordinates):
Co1 0.000 0.000 0.000
Tc1 0.500 0.500 0.500
I1 0.000 0.500 0.500
I2 0.500 0.000 0.500
O1 0.500 0.500 0.000

=====

--- Q ---
Entry from the Alexandria database: CoTcI2O after structural relaxation (PBE with a Hubbard U).

Calculated values
* N(E_F): 0.533 states/eV per atom

a = 5.676 Å, b = 5.676 Å, c = 3.601 Å
α = 90.00°, β = 90.00°, γ = 90.00°
Atoms (fractional coordinates):
Co1 0.000 0.000 0.000
Tc1 0.500 0.500 0.500
I1 0.000 0.500 0.000
I2 0.500 0.000 0.000
O1 0.000 0.000 0.500

=====

Most stable one: P, least stable one: Q.

=====

--- P ---
Entry from the Alexandria database: CoTe2IO after structural relaxation (PBE with a Hubbard U).

Calculated values
* N(E_F): 1.344 states/eV per atom

a = 4.406 Å, b = 4.406 Å, c = 7.579 Å
α = 90.00°, β = 90.00°, γ = 90.00°
Atoms (fractional coordinates):
Co1 0.000 0.000 0.000
Te1 0.000 0.500 0.500
Te2 0.500 0.000 0.500
I1 0.500 0.500 0.000
O1 0.500 0.500 0.500

=====

--- Q ---
Entry from the Alexandria database: CoTe2IO after structural relaxation (PBE with a Hubbard U).

Calculated values
* N(E_F): 1.494 states/eV per atom

a = 4.890 Å, b = 4.890 Å, c = 5.293 Å
α = 90.00°, β = 90.00°, γ = 90.00°
Atoms (fractional coordinates):
Co1 0.000 0.000 0.000
Te1 0.000 0.500 0.000
Te2 0.500 0.000 0.000
I1 0.000 0.000 0.500
O1 0.500 0.500 0.500

=====

Most stable one: P, least stable one: Q.

=====

--- P ---
Entry from the Alexandria database: TiCoI2O after structural relaxation (PBE with a Hubbard U).

Calculated values
* N(E_F): 1.783 states/eV per atom

a = 5.386 Å, b = 5.386 Å, c = 3.511 Å
α = 90.00°, β = 90.00°, γ = 90.00°
Atoms (fractional coordinates):
Ti1 0.000 0.000 0.000
Co1 0.500 0.500 0.500
I1 0.000 0.500 0.500
I2 0.500 0.000 0.500
O1 0.500 0.500 0.000

=====

--- Q ---
Entry from the Alexandria database: TiCoI2O after structural relaxation (PBE with a Hubbard U).

Calculated values
* N(E_F): 1.339 states/eV per atom

a = 5.647 Å, b = 5.647 Å, c = 3.745 Å
α = 90.00°, β = 90.00°, γ = 90.00°
Atoms (fractional coordinates):
Ti1 0.000 0.000 0.000
Co1 0.500 0.500 0.500
I1 0.000 0.500 0.000
I2 0.500 0.000 0.000
O1 0.000 0.000 0.500

=====

Most stable one: Q, least stable one: P.

=====

--- P ---
Entry from the Alexandria database: TiCoIO2 after structural relaxation (PBE with a Hubbard U).

Calculated values
* N(E_F): 1.061 states/eV per atom

a = 3.930 Å, b = 3.930 Å, c = 5.052 Å
α = 90.00°, β = 90.00°, γ = 90.00°
Atoms (fractional coordinates):
Ti1 0.000 0.000 0.000
Co1 0.500 0.500 0.500
I1 0.500 0.500 0.000
O1 0.000 0.500 0.500
O2 0.500 0.000 0.500

=====

--- Q ---
Entry from the Alexandria database: TiCoIO2 after structural relaxation (PBE with a Hubbard U).

Calculated values
* N(E_F): 0.962 states/eV per atom

a = 3.816 Å, b = 3.816 Å, c = 6.102 Å
α = 90.00°, β = 90.00°, γ = 90.00°
Atoms (fractional coordinates):
Ti1 0.000 0.000 0.000
Co1 0.500 0.500 0.500
I1 0.000 0.000 0.500
O1 0.000 0.500 0.000
O2 0.500 0.000 0.000

=====

Most stable one: Q, least stable one: P.

=====

--- P ---
Entry from the Alexandria database: TlCoI2O after structural relaxation (PBE with a Hubbard U).

Calculated values
* N(E_F): 0.361 states/eV per atom

a = 6.221 Å, b = 6.221 Å, c = 3.600 Å
α = 90.00°, β = 90.00°, γ = 90.00°
Atoms (fractional coordinates):
Tl1 0.000 0.000 0.000
Co1 0.500 0.500 0.500
I1 0.000 0.500 0.500
I2 0.500 0.000 0.500
O1 0.500 0.500 0.000

=====

--- Q ---
Entry from the Alexandria database: TlCoI2O after structural relaxation (PBE with a Hubbard U).

Calculated values
* N(E_F): 0.916 states/eV per atom

a = 6.133 Å, b = 6.133 Å, c = 4.098 Å
α = 90.00°, β = 90.00°, γ = 90.00°
Atoms (fractional coordinates):
Tl1 0.000 0.000 0.000
Co1 0.500 0.500 0.500
I1 0.000 0.500 0.000
I2 0.500 0.000 0.000
O1 0.000 0.000 0.500

=====

Most stable one: P, least stable one: Q.

=====

--- P ---
Entry from the Alexandria database: VCoIO2 after structural relaxation (PBE with a Hubbard U).

Calculated values
* N(E_F): 0.217 states/eV per atom

a = 3.752 Å, b = 3.752 Å, c = 6.946 Å
α = 90.00°, β = 90.00°, γ = 90.00°
Atoms (fractional coordinates):
V1 0.000 0.000 0.000
Co1 0.500 0.500 0.500
I1 0.000 0.000 0.500
O1 0.000 0.500 0.000
O2 0.500 0.000 0.000

=====

--- Q ---
Entry from the Alexandria database: VCoIO2 after structural relaxation (PBE with a Hubbard U).

Calculated values
* N(E_F): 0.728 states/eV per atom

a = 3.924 Å, b = 3.924 Å, c = 5.484 Å
α = 90.00°, β = 90.00°, γ = 90.00°
Atoms (fractional coordinates):
V1 0.000 0.000 0.000
Co1 0.500 0.500 0.500
I1 0.500 0.500 0.000
O1 0.000 0.500 0.500
O2 0.500 0.000 0.500

=====

Most stable one: P, least stable one: Q.

=====

--- P ---
Entry from the Alexandria database: YCoI2O after structural relaxation (PBE with a Hubbard U).

Calculated values
* N(E_F): 0.435 states/eV per atom

a = 5.748 Å, b = 5.748 Å, c = 3.665 Å
α = 90.00°, β = 90.00°, γ = 90.00°
Atoms (fractional coordinates):
Y1 0.000 0.000 0.000
Co1 0.500 0.500 0.500
I1 0.000 0.500 0.500
I2 0.500 0.000 0.500
O1 0.500 0.500 0.000

=====

--- Q ---
Entry from the Alexandria database: YCoI2O after structural relaxation (PBE with a Hubbard U).

Calculated values
* N(E_F): 1.206 states/eV per atom

a = 6.200 Å, b = 6.200 Å, c = 4.176 Å
α = 90.00°, β = 90.00°, γ = 90.00°
Atoms (fractional coordinates):
Y1 0.000 0.000 0.000
Co1 0.500 0.500 0.500
I1 0.000 0.500 0.000
I2 0.500 0.000 0.000
O1 0.000 0.000 0.500

=====

Most stable one: Q, least stable one: P.